No. 1
## CaScCu (PBE-GGA)

Data for a geometry-optimized CaScCu structure.

VASP energy (eV for the cell shown): -25.174

```
data_CaScCu
_chemical_formula_sum 'Ca2 Sc2 Cu2'
_cell_length_a 3.3905
_cell_length_b 3.3905
_cell_length_c 12.3728
_cell_angle_alpha 90.00
_cell_angle_beta 90.00
_cell_angle_gamma 90.00
_symmetry_space_group_name_H-M 'I 4 m m'
_symmetry_Int_Tables_number 107
_symmetry_space_group_name_Hall 'I 4 -2'
loop_
_atom_site_label
_atom_site_type_symbol
_atom_site_fract_x
_atom_site_fract_y
_atom_site_fract_z
Ca1 Ca 0.0000 0.0000 0.0000
Sc1 Sc 0.0000 0.0000 0.7281
Cu1 Cu 0.0000 0.0000 0.3361
```

=====

No. 2
## Ca2ScCu (PBE-GGA)

Data for a geometry-optimized Ca2ScCu structure.

VASP energy (eV for the cell shown): -14.514

```
data_Ca2ScCu
_chemical_formula_sum 'Ca2 Sc1 Cu1'
_cell_length_a 3.4935
_cell_length_b 3.4935
_cell_length_c 9.1422
_cell_angle_alpha 90.00
_cell_angle_beta 90.00
_cell_angle_gamma 90.00
_symmetry_space_group_name_H-M 'P 4 m m'
_symmetry_Int_Tables_number 99
_symmetry_space_group_name_Hall 'P 4 -2'
loop_
_atom_site_label
_atom_site_type_symbol
_atom_site_fract_x
_atom_site_fract_y
_atom_site_fract_z
Ca1 Ca 0.0000 0.0000 0.0000
Ca2 Ca 0.5000 0.5000 0.3516
Sc1 Sc 0.5000 0.5000 0.7079
Cu1 Cu 0.0000 0.0000 0.5717
```

=====

No. 3
## CaSc2Cu2 (PBE-GGA)

Data for a geometry-optimized CaSc2Cu2 structure.

VASP energy (eV for the cell shown): -46.236

```
data_CaSc2Cu2
_chemical_formula_sum 'Ca2 Sc4 Cu4'
_cell_length_a 4.5067
_cell_length_b 4.5067
_cell_length_c 10.9583
_cell_angle_alpha 90.00
_cell_angle_beta 90.00
_cell_angle_gamma 90.00
_symmetry_space_group_name_H-M 'I 4/m m m'
_symmetry_Int_Tables_number 139
_symmetry_space_group_name_Hall '-I 4 2'
loop_
_atom_site_label
_atom_site_type_symbol
_atom_site_fract_x
_atom_site_fract_y
_atom_site_fract_z
Ca1 Ca 0.0000 0.0000 0.0000
Sc1 Sc 0.0000 0.5000 0.2500
Cu1 Cu 0.0000 0.0000 0.3910
```

=====

No. 4
## Ca2ScCu (PBE-GGA)

Data for a geometry-optimized Ca2ScCu structure.

VASP energy (eV for the cell shown): -52.916

```
data_Ca2ScCu
_chemical_formula_sum 'Ca8 Sc4 Cu4'
_cell_length_a 8.7465
_cell_length_b 8.7465
_cell_length_c 6.0507
_cell_angle_alpha 90.00
_cell_angle_beta 90.00
_cell_angle_gamma 90.00
_symmetry_space_group_name_H-M 'I -4 2 d'
_symmetry_Int_Tables_number 122
_symmetry_space_group_name_Hall 'I -4 2bw'
loop_
_atom_site_label
_atom_site_type_symbol
_atom_site_fract_x
_atom_site_fract_y
_atom_site_fract_z
Ca1 Ca 0.1749 0.2500 0.1250
Sc1 Sc 0.0000 0.0000 0.5000
Cu1 Cu 0.0000 0.0000 0.0000
```

=====

No. 5
## CaSc3Cu (PBE-GGA)

Data for a geometry-optimized CaSc3Cu structure.

VASP energy (eV for the cell shown): -18.203

```
data_CaSc3Cu
_chemical_formula_sum 'Ca1 Sc3 Cu1'
_cell_length_a 5.0810
_cell_length_b 5.0810
_cell_length_c 5.0810
_cell_angle_alpha 90.00
_cell_angle_beta 90.00
_cell_angle_gamma 90.00
_symmetry_space_group_name_H-M 'P m -3 m'
_symmetry_Int_Tables_number 221
_symmetry_space_group_name_Hall '-P 4 2 3'
loop_
_atom_site_label
_atom_site_type_symbol
_atom_site_fract_x
_atom_site_fract_y
_atom_site_fract_z
Ca1 Ca 0.0000 0.0000 0.0000
Sc1 Sc 0.0000 0.0000 0.5000
Cu1 Cu 0.5000 0.5000 0.5000
```

=====

No. 6
## Ca2ScCu (PBE-GGA)

Data for a geometry-optimized Ca2ScCu structure.

VASP energy (eV for the cell shown): -28.291

```
data_Ca2ScCu
_chemical_formula_sum 'Ca4 Sc2 Cu2'
_cell_length_a 3.5564
_cell_length_b 5.5171
_cell_length_c 11.3586
_cell_angle_alpha 90.00
_cell_angle_beta 90.00
_cell_angle_gamma 90.00
_symmetry_space_group_name_H-M 'I m m 2'
_symmetry_Int_Tables_number 44
_symmetry_space_group_name_Hall 'I 2 -2'
loop_
_atom_site_label
_atom_site_type_symbol
_atom_site_fract_x
_atom_site_fract_y
_atom_site_fract_z
Ca1 Ca 0.0000 0.0000 0.0000
Ca2 Ca 0.0000 0.5000 0.1988
Sc1 Sc 0.0000 0.0000 0.3901
Cu1 Cu 0.0000 0.5000 0.7164
```

=====

No. 7
## Ca2ScCu (PBE-GGA)

Data for a geometry-optimized Ca2ScCu structure.

VASP energy (eV for the cell shown): -53.193

```
data_Ca2ScCu
_chemical_formula_sum 'Ca8 Sc4 Cu4'
_cell_length_a 7.4447
_cell_length_b 7.4447
_cell_length_c 7.4447
_cell_angle_alpha 90.00
_cell_angle_beta 90.00
_cell_angle_gamma 90.00
_symmetry_space_group_name_H-M 'F -4 3 m'
_symmetry_Int_Tables_number 216
_symmetry_space_group_name_Hall 'F -4 2 3'
loop_
_atom_site_label
_atom_site_type_symbol
_atom_site_fract_x
_atom_site_fract_y
_atom_site_fract_z
Ca1 Ca 0.0000 0.0000 0.0000
Ca2 Ca 0.2500 0.2500 0.2500
Sc1 Sc 0.2500 0.2500 0.7500
Cu1 Cu 0.0000 0.0000 0.5000
```

=====

No. 8
## CaScCu3 (PBE-GGA)

Data for a geometry-optimized CaScCu3 structure.

VASP energy (eV for the cell shown): -18.349

```
data_CaScCu3
_chemical_formula_sum 'Ca1 Sc1 Cu3'
_cell_length_a 4.8639
_cell_length_b 4.8639
_cell_length_c 4.8639
_cell_angle_alpha 90.00
_cell_angle_beta 90.00
_cell_angle_gamma 90.00
_symmetry_space_group_name_H-M 'P m -3 m'
_symmetry_Int_Tables_number 221
_symmetry_space_group_name_Hall '-P 4 2 3'
loop_
_atom_site_label
_atom_site_type_symbol
_atom_site_fract_x
_atom_site_fract_y
_atom_site_fract_z
Ca1 Ca 0.0000 0.0000 0.0000
Sc1 Sc 0.5000 0.5000 0.5000
Cu1 Cu 0.0000 0.5000 0.5000
```

=====

- VASP energy of number 8 (CaScCu3)?
  -18.349 eV for the cell shown